(1)
A relaxed structure of BeAu. Source: the Alexandria database, functional PBE.

Values from the calculation:
Space group: P-6m2
E_form in eV/atom: -0.040

abc: 3.339 3.339 2.947
angles: 90.00 90.00 120.00
Positions (direct):
Be (0.000, 0.000, 0.000)
Au (0.333, 0.667, 0.500)

***

(2)
A relaxed structure of BeAu. Source: the Alexandria database, functional PBE.

Values from the calculation:
Space group: Cm
E_form in eV/atom: -0.092

abc: 4.705 4.705 6.466
angles: 108.63 108.63 36.50
Positions (direct):
Be (0.000, 0.000, 0.000)
Be (0.064, 0.064, 0.569)
Be (0.713, 0.713, 0.331)
Au (0.350, 0.350, 0.652)
Au (0.431, 0.431, 0.257)
Au (0.684, 0.684, 0.913)

***

(3)
A relaxed structure of BeAu. Source: the Alexandria database, functional PBE.

Values from the calculation:
Space group: P2_13
E_form in eV/atom: -0.138

abc: 4.722 4.722 4.722
angles: 90.00 90.00 90.00
Positions (direct):
Be (0.155, 0.345, 0.655)
Be (0.345, 0.655, 0.155)
Be (0.655, 0.155, 0.345)
Be (0.845, 0.845, 0.845)
Au (0.155, 0.155, 0.155)
Au (0.345, 0.845, 0.655)
Au (0.655, 0.345, 0.845)
Au (0.845, 0.655, 0.345)

***

(4)
A relaxed structure of BeAu2. Source: the Alexandria database, functional PBE.

Values from the calculation:
Space group: Cmc2_1
Distance to the lowest polymorph of the same formula in eV per atom: 0.065
E_form in eV/atom: -0.063

abc: 5.459 5.459 5.585
angles: 90.00 90.00 146.84
Positions (direct):
Be (0.126, 0.874, 0.500)
Be (0.874, 0.126, 0.000)
Au (0.207, 0.793, 0.097)
Au (0.473, 0.527, 0.279)
Au (0.527, 0.473, 0.779)
Au (0.793, 0.207, 0.597)

***

(5)
A relaxed structure of Be5Au6. Source: the Alexandria database, functional PBE.

Values from the calculation:
Space group: C2/m
Distance to the lowest polymorph of the same formula in eV per atom: 0.085
E_form in eV/atom: -0.032

abc: 5.738 5.738 5.192
angles: 99.14 99.14 109.92
Positions (direct):
Be (0.000, 0.000, 0.000)
Be (0.125, 0.875, 0.500)
Be (0.267, 0.733, 0.000)
Be (0.733, 0.267, 0.000)
Be (0.875, 0.125, 0.500)
Au (0.143, 0.452, 0.300)
Au (0.294, 0.294, 0.801)
Au (0.452, 0.143, 0.300)
Au (0.548, 0.857, 0.700)
Au (0.706, 0.706, 0.199)
Au (0.857, 0.548, 0.700)

***

(6)
A relaxed structure of BeAu. Source: the Alexandria database, functional PBE.

Values from the calculation:
Space group: Fd-3m
E_form in eV/atom: 0.232

abc: 4.319 4.319 4.319
angles: 60.00 60.00 60.00
Positions (direct):
Be (0.125, 0.125, 0.125)
Be (0.875, 0.875, 0.875)
Au (0.375, 0.375, 0.375)
Au (0.625, 0.625, 0.625)

***

(7)
A relaxed structure of Be5Au7. Source: the Alexandria database, functional PBE.

Values from the calculation:
Space group: C2/m
E_form in eV/atom: -0.049

abc: 6.504 6.504 10.926
angles: 123.88 123.88 27.35
Positions (direct):
Be (0.000, 0.000, 0.000)
Be (0.159, 0.159, 0.467)
Be (0.278, 0.278, 0.237)
Be (0.722, 0.722, 0.763)
Be (0.841, 0.841, 0.533)
Au (0.065, 0.065, 0.754)
Au (0.343, 0.343, 0.712)
Au (0.347, 0.347, 0.979)
Au (0.500, 0.500, 0.500)
Au (0.653, 0.653, 0.021)
Au (0.657, 0.657, 0.288)
Au (0.935, 0.935, 0.246)

***

(8)
A relaxed structure of BeAu. Source: the Alexandria database, functional PBE.

Values from the calculation:
Space group: P6_3/mcm
E_form in eV/atom: 0.001

abc: 7.009 7.009 4.393
angles: 90.00 90.00 120.00
Positions (direct):
Be (0.000, 0.406, 0.250)
Be (0.000, 0.594, 0.750)
Be (0.406, 0.000, 0.250)
Be (0.406, 0.406, 0.750)
Be (0.594, 0.000, 0.750)
Be (0.594, 0.594, 0.250)
Au (0.000, 0.269, 0.750)
Au (0.000, 0.731, 0.250)
Au (0.269, 0.000, 0.750)
Au (0.269, 0.269, 0.250)
Au (0.731, 0.000, 0.250)
Au (0.731, 0.731, 0.750)

***

(9)
A relaxed structure of BeAu5. Source: the Alexandria database, functional PBE.

Values from the calculation:
Space group: P-62m
Distance to the lowest polymorph of the same formula in eV per atom: 0.144
E_form in eV/atom: 0.075

abc: 5.058 5.058 4.585
angles: 90.00 90.00 120.00
Positions (direct):
Be (0.000, 0.000, 0.000)
Au (0.000, 0.683, 0.500)
Au (0.317, 0.317, 0.500)
Au (0.333, 0.667, 0.000)
Au (0.667, 0.333, 0.000)
Au (0.683, 0.000, 0.500)

***

(10)
A relaxed structure of BeAu4. Source: the Alexandria database, functional PBE.

Values from the calculation:
Space group: Im-3m
Distance to the lowest polymorph of the same formula in eV per atom: 0.087
E_form in eV/atom: 0.006

abc: 4.879 4.879 4.879
angles: 109.47 109.47 109.47
Positions (direct):
Be (0.000, 0.000, 0.000)
Au (0.000, 0.000, 0.500)
Au (0.000, 0.500, 0.000)
Au (0.500, 0.000, 0.000)
Au (0.500, 0.500, 0.500)

***

(11)
A relaxed structure of BeAu5. Source: the Alexandria database, functional PBE.

Values from the calculation:
Space group: Cmmm
Distance to the lowest polymorph of the same formula in eV per atom: 0.094
E_form in eV/atom: 0.025

abc: 7.288 7.288 4.650
angles: 90.00 90.00 155.26
Positions (direct):
Be (0.000, 0.000, 0.000)
Au (0.169, 0.831, 0.500)
Au (0.370, 0.630, 0.000)
Au (0.500, 0.500, 0.500)
Au (0.630, 0.370, 0.000)
Au (0.831, 0.169, 0.500)

***

(12)
A relaxed structure of BeAu2. Source: the Alexandria database, functional PBE.

Values from the calculation:
Space group: Amm2
Distance to the lowest polymorph of the same formula in eV per atom: 0.059
E_form in eV/atom: -0.069

abc: 3.547 4.558 4.558
angles: 39.63 90.00 90.00
Positions (direct):
Be (0.000, 0.000, 0.000)
Au (0.000, 0.291, 0.291)
Au (0.500, 0.575, 0.575)

***

Question: Which formula does entry 10 have?
Answer: BeAu4

***

Repeat the third record exactly.
A relaxed structure of BeAu. Source: the Alexandria database, functional PBE.

Values from the calculation:
Space group: P2_13
E_form in eV/atom: -0.138

abc: 4.722 4.722 4.722
angles: 90.00 90.00 90.00
Positions (direct):
Be (0.155, 0.345, 0.655)
Be (0.345, 0.655, 0.155)
Be (0.655, 0.155, 0.345)
Be (0.845, 0.845, 0.845)
Au (0.155, 0.155, 0.155)
Au (0.345, 0.845, 0.655)
Au (0.655, 0.345, 0.845)
Au (0.845, 0.655, 0.345)

***

Question: Look up the E_form of the fourth one.
Answer: -0.063 eV/atom